1.
DFT (PBE) results for a relaxed SiTe2Ru crystal.

Geometry as POSCAR:
```
SiTe2Ru
1.0
-3.9206 3.3747 0.1243
-3.0105 -1.2320 -4.0242
1.8353 -3.0323 3.7699
Ru Si Te
1 1 2
Cartesian
-3.4655 1.0714 -1.9500
-2.7754 0.7069 0.9721
0.0000 0.0000 0.0000
-2.3204 -1.5965 -1.1022
```

Summary:
N(E_F), states/eV/cell: 2.66
ρ, g cm⁻³: 7.9

2.
DFT (PBE) results for a relaxed Si2TeRu crystal.

Geometry as POSCAR:
```
Si2TeRu
1.0
4.2480 0.0000 0.0000
0.0000 4.2844 0.0369
0.0000 0.5275 4.1814
Ru Si Te
1 2 1
Cartesian
2.1240 3.6090 3.1638
0.0000 4.6931 3.6842
0.0000 2.5249 2.6433
2.1240 1.2030 1.0546
```

Summary:
N(E_F), states/eV/cell: 2.50
ρ, g cm⁻³: 6.2

3.
DFT (PBE) results for a relaxed Si2TeRu crystal.

Geometry as POSCAR:
```
Si2TeRu
1.0
3.2018 0.0000 0.0000
0.0000 4.6293 -0.0009
0.0000 3.4663 4.5618
Ru Si Te
1 2 1
Cartesian
0.0000 1.7332 2.2809
0.0000 0.0000 0.0000
1.6009 2.3147 -0.0004
1.6009 4.0478 2.2805
```

Summary:
N(E_F), states/eV/cell: 2.23
ρ, g cm⁻³: 7.0

4.
DFT (PBE) results for a relaxed SiTeRu2 crystal.

Geometry as POSCAR:
```
SiTeRu2
1.0
5.5225 0.0000 0.0000
0.0000 5.5225 0.0000
2.7613 2.7613 5.6894
Ru Si Te
4 2 2
Cartesian
3.9232 1.3806 1.4224
1.5994 4.1419 1.4224
4.1419 4.3606 4.2671
6.9032 6.6844 4.2671
2.7613 2.7613 0.0000
2.7613 5.5225 2.8447
0.0000 0.0000 0.0000
5.5225 2.7613 2.8447
```

Summary:
N(E_F), states/eV/cell: 4.97
ρ, g cm⁻³: 6.8

5.
DFT (PBE) results for a relaxed Si2TeRu crystal.

Geometry as POSCAR:
```
Si2TeRu
1.0
4.2846 0.0000 0.0000
0.0000 4.5365 0.0163
0.0000 2.1572 3.9919
Ru Si Te
1 2 1
Cartesian
2.1423 5.3502 3.2033
0.0000 6.3273 3.7890
2.1423 1.0559 0.6325
0.0000 4.0009 2.3956
```

Summary:
N(E_F), states/eV/cell: 0.99
ρ, g cm⁻³: 6.1

6.
DFT (PBE) results for a relaxed SiTe2Ru crystal.

Geometry as POSCAR:
```
SiTe2Ru
1.0
6.1097 0.0000 0.0000
0.0000 6.1097 0.0000
3.0549 3.0549 5.9503
Ru Si Te
2 2 4
Cartesian
0.0000 0.0000 0.0000
6.1097 3.0549 2.9751
3.0549 3.0549 0.0000
3.0549 6.1097 2.9751
4.7178 1.5274 1.4876
1.3919 4.5823 1.4876
4.5823 4.4468 4.4627
7.6371 7.7726 4.4627
```

Summary:
N(E_F), states/eV/cell: 4.02
ρ, g cm⁻³: 5.7

7.
DFT (PBE) results for a relaxed SiTeRu2 crystal.

Geometry as POSCAR:
```
SiTeRu2
1.0
5.3311 0.0119 0.0000
2.7381 4.5742 0.0000
-4.0346 -2.2931 2.6239
Ru Si Te
2 1 1
Cartesian
0.0000 0.0000 0.0000
1.3691 2.2871 1.3119
4.0346 2.2931 0.0000
2.6656 0.0059 1.3119
```

Summary:
N(E_F), states/eV/cell: 3.51
ρ, g cm⁻³: 9.3

8.
DFT (PBE) results for a relaxed SiTeRu crystal.

Geometry as POSCAR:
```
SiTeRu
1.0
-3.4814 0.7810 -2.4564
-3.7623 -1.9529 0.8918
-3.3071 2.2966 1.5978
Ru Si Te
1 1 1
Cartesian
-2.6377 0.2812 0.0083
0.0000 0.0000 0.0000
-5.2754 0.5623 0.0166
```

Summary:
N(E_F), states/eV/cell: 1.91
ρ, g cm⁻³: 7.4

9.
DFT (PBE) results for a relaxed Si2TeRu crystal.

Geometry as POSCAR:
```
Si2TeRu
1.0
4.8368 -0.0069 0.0000
1.2263 4.6788 0.0000
-3.0316 -2.3360 2.9576
Ru Si Te
1 2 1
Cartesian
2.4184 -0.0034 1.4788
0.0000 0.0000 0.0000
3.0316 2.3360 0.0000
0.6132 2.3394 1.4788
```

Summary:
N(E_F), states/eV/cell: 2.21
ρ, g cm⁻³: 7.1

10.
DFT (PBE) results for a relaxed SiTe2Ru2 crystal.

Geometry as POSCAR:
```
SiTe2Ru2
1.0
-4.3096 -1.0487 -6.2847
5.9948 -3.2378 -3.5705
-0.8921 -2.8508 1.0874
Ru Si Te
4 2 4
Cartesian
3.6121 -3.1822 -5.3797
0.0818 -2.9637 -7.7028
-1.9268 -1.1042 -4.4756
1.6034 -1.3227 -2.1524
0.0000 0.0000 0.0000
0.8426 -2.1432 -4.9276
2.8134 -3.7106 -2.7735
1.7922 -4.8472 -6.5911
-2.0201 -3.4266 -5.9943
-0.9990 -2.2900 -2.1767
```

Summary:
N(E_F), states/eV/cell: 11.61
E above lowest polymorph, meV/atom: 68
ρ, g cm⁻³: 8.6

11.
DFT (PBE) results for a relaxed SiTe3Ru crystal.

Geometry as POSCAR:
```
SiTe3Ru
1.0
-2.3983 0.6643 -4.5516
1.7839 -4.5971 -1.6109
-4.2398 -2.3100 1.8969
Ru Si Te
1 1 3
Cartesian
0.0000 0.0000 0.0000
-2.4271 -3.1214 -2.1328
0.8920 -2.2985 -0.8054
-2.1199 -1.1550 0.9484
-1.1991 0.3321 -2.2758
```

Summary:
N(E_F), states/eV/cell: 7.57
E above lowest polymorph, meV/atom: 0
ρ, g cm⁻³: 6.1

12.
DFT (PBE) results for a relaxed SiTeRu2 crystal.

Geometry as POSCAR:
```
SiTeRu2
1.0
7.9873 -0.0438 -0.0259
7.4093 2.9834 -0.0259
7.4093 1.4146 2.6268
Ru Si Te
2 1 1
Cartesian
22.6057 4.3161 2.5524
11.6032 2.2154 1.3101
5.7015 1.0886 0.6438
17.1045 3.2657 1.9313
```

Summary:
N(E_F), states/eV/cell: 3.54
ρ, g cm⁻³: 9.3

Values for V, Å³/atom, ordered as above
20.211; 19.005; 16.907; 21.690; 19.360; 27.764; 15.975; 19.158; 16.739; 18.809; 27.919; 16.013
Values for raw formation energy, eV per atom, ordered as above
0.69; 0.25; 0.52; 0.24; 0.10; 0.37; 0.31; 0.00; 0.54; 0.43; 0.76; 0.04